Computed, not measured: a relaxed Ru3CCl crystal at the GGA-PBE level of DFT.

* total magnetization: 2.7 μB/f.u.
* energy above the most stable polymorph in this dataset: 0.000 eV per atom

abc: 4.119 4.119 4.119
angles: 90.00 90.00 90.00
Space group Pm-3m (No. 221)
Inequivalent atoms, fractional coordinates:
Ru 0.000 0.000 0.500 [3 per cell]
C 0.000 0.000 0.000 [1 per cell]
Cl 0.500 0.500 0.500 [1 per cell]



Computed, not measured: a relaxed Ce2Pt9Rh crystal at the GGA-PBE level of DFT.

* calculated formation energy: -610.8 meV per atom
* total magnetization: 0.0 μB/f.u.
* energy above the most stable polymorph in this dataset: 0.000 eV per atom

abc: 4.103 4.103 12.276
angles: 90.00 90.00 90.00
Space group P4/mmm (No. 123)
Inequivalent atoms, fractional coordinates:
Ce 0.000 0.000 0.174 [2 per cell]
Pt 0.000 0.500 0.000 [2 per cell]
Pt 0.000 0.500 0.342 [4 per cell]
Pt 0.500 0.500 0.171 [2 per cell]
Pt 0.500 0.500 0.500 [1 per cell]
Rh 0.000 0.000 0.500 [1 per cell]



Computed, not measured: a relaxed Nb2VHOs crystal at the GGA-PBE level of DFT.

* electronic total energy: -44.60 eV per cell
* total magnetization: 0.0 μB/f.u.

abc: 4.458 4.458 3.336
angles: 90.00 90.00 90.00
Space group P4/mmm (No. 123)
Inequivalent atoms, fractional coordinates:
Nb 0.000 0.500 0.000 [2 per cell]
V 0.000 0.000 0.500 [1 per cell]
H 0.000 0.000 0.000 [1 per cell]
Os 0.500 0.500 0.500 [1 per cell]



no.,D(E_F) (states/eV per cell)
1,6.265
2,12.732
3,3.326